1.
First-principles (PBE) data for crystalline CsBe2N2 at its relaxed geometry, as listed in Alexandria via LeMat-Bulk.

The structure in POSCAR format:
```
CsBe2N2
1.0
7.763 0.000 0.000
0.000 7.763 0.000
0.000 0.000 2.851
N Cs Be
4 2 4
Cartesian
0.597 4.479 1.425
4.479 7.166 1.425
7.166 3.284 1.425
3.284 0.597 1.425
0.000 0.000 0.000
3.882 3.882 0.000
4.530 0.648 0.000
0.648 3.233 0.000
7.115 4.530 0.000
3.233 7.115 0.000
```

Values from the calculation:
ΔE_f (raw) (eV/atom): 0.850
Calculated total energy (eV/atom): -4.142
N(E_F) (states/eV/f.u.): 1.46

---

2.
First-principles (PBE) data for crystalline KTl4Br at its relaxed geometry, as listed in Alexandria via LeMat-Bulk.

The structure in POSCAR format:
```
KTl4Br
1.0
0.000 4.707 4.707
4.707 0.000 4.707
4.707 4.707 0.000
Tl Br K
4 1 1
Cartesian
3.535 3.535 3.535
5.879 5.879 3.535
3.535 5.879 5.879
5.879 3.535 5.879
7.060 7.060 7.060
0.000 0.000 0.000
```

Values from the calculation:
ΔE_f (raw) (eV/atom): -0.195
Calculated total energy (eV/atom): -2.234
N(E_F) (states/eV/f.u.): 4.29

---

3.
First-principles (PBE) data for crystalline Tc2NiTe2 at its relaxed geometry, as listed in Alexandria via LeMat-Bulk.

The structure in POSCAR format:
```
Tc2NiTe2
1.0
-1.441 4.936 -0.890
-0.659 -1.104 -5.057
-4.652 0.986 -2.301
Te Tc Ni
2 2 1
Cartesian
-3.571 3.918 -3.082
-3.180 0.899 -5.166
-2.095 1.646 -2.778
-4.656 3.171 -5.470
0.000 0.000 0.000
```

Values from the calculation:
ΔE_f (raw) (eV/atom): 0.639
Calculated total energy (eV/atom): -5.921
N(E_F) (states/eV/f.u.): 4.74

---

no.,total magnetic moment (μB/cell)
1,0.00
2,0.00
3,0.09